Record 1
# ZnCr2Tc

A relaxed structure of ZnCr2Tc (PBE, Alexandria).

Structure (extended XYZ):
```
4
Lattice="1.495 -2.090 0.000 1.495 2.090 0.000 0.000 0.000 8.435" Properties=species:S:1:pos:R:3 pbc="T T T"
Zn 0.000 0.000 0.000
Cr 1.495 0.000 2.154
Cr 1.495 0.000 6.281
Tc 0.000 0.000 4.217
```

Summary:
Total magnetization = 0.00 μB/cell
Formation energy from the elements = 18.8 kJ/mol of atoms
E = -7.527 eV/atom
Crystal system = orthorhombic


Record 2
# HPtAu

A relaxed structure of HPtAu (PBE, Alexandria).

Structure (extended XYZ):
```
48
Lattice="9.813 0.000 0.000 0.000 5.603 0.000 0.000 0.000 13.127" Properties=species:S:1:pos:R:3 pbc="T T T"
H 0.082 1.400 0.000
H 0.861 2.824 11.486
H 1.583 1.397 4.823
H 2.326 5.565 6.487
H 2.580 2.764 13.051
H 3.323 4.198 11.387
H 4.046 0.023 4.923
H 4.824 4.202 6.564
H 4.989 1.401 0.000
H 5.767 5.580 11.486
H 6.490 1.405 4.823
H 7.233 2.839 6.487
H 7.487 0.038 13.051
H 8.230 4.206 11.387
H 8.952 2.779 4.923
H 9.731 4.203 6.564
Pt 0.709 0.025 5.585
Pt 0.769 2.832 5.715
Pt 1.686 1.365 12.329
Pt 1.726 4.239 12.288
Pt 3.181 1.438 5.725
Pt 3.220 4.166 5.766
Pt 4.137 0.031 12.278
Pt 4.197 2.826 12.149
Pt 5.615 2.777 5.585
Pt 5.676 5.572 5.715
Pt 6.593 1.437 12.329
Pt 6.632 4.165 12.288
Pt 8.087 1.364 5.725
Pt 8.127 4.238 5.766
Pt 9.044 2.771 12.278
Pt 9.104 5.578 12.149
Au 0.008 1.285 7.952
Au 0.990 5.149 9.781
Au 1.717 4.135 3.431
Au 2.231 3.120 8.191
Au 2.676 0.318 1.627
Au 3.189 1.334 9.995
Au 3.917 2.348 3.217
Au 4.899 4.087 1.388
Au 4.914 1.516 7.952
Au 5.896 3.255 9.781
Au 6.624 4.270 3.431
Au 7.137 5.285 8.191
Au 7.582 2.483 1.627
Au 8.096 1.468 9.995
Au 8.823 0.454 3.217
Au 9.805 4.318 1.388
```

Summary:
Total magnetization = 0.00 μB/cell
Distance to the lowest polymorph of the same formula = 89.5 meV per atom
E = -4.072 eV/atom
Crystal system = orthorhombic


Record 3
# Tb3Fe3I

A relaxed structure of Tb3Fe3I (PBE, Alexandria).

Structure (extended XYZ):
```
14
Lattice="9.684 0.000 0.000 -4.842 8.386 0.000 0.000 0.000 4.003" Properties=species:S:1:pos:R:3 pbc="T T T"
Tb -2.634 5.830 1.001
Tb 1.110 3.190 1.001
Tb 3.318 0.634 3.002
Tb 1.524 7.753 1.001
Tb 3.732 5.196 3.002
Tb 7.476 2.556 3.002
Fe -4.037 7.243 3.002
Fe 0.587 1.269 3.002
Fe 1.392 0.126 1.001
Fe 3.449 8.261 3.002
Fe 4.254 7.118 1.001
Fe 8.879 1.143 1.001
I 0.000 5.591 3.002
I 4.842 2.795 1.001
```

Summary:
Total magnetization = 9.56 μB/cell
E_form (uncorrected) = -0.2142 eV/atom
E = -6.047 eV/atom
Crystal system = hexagonal


Record 4
# LiTbCuIr

A relaxed structure of LiTbCuIr (PBE, Alexandria).

Structure (extended XYZ):
```
4
Lattice="0.000 3.270 3.270 3.270 0.000 3.270 3.270 3.270 0.000" Properties=species:S:1:pos:R:3 pbc="T T T"
Li 0.000 0.000 0.000
Tb 3.270 3.270 3.270
Cu 1.635 1.635 1.635
Ir 4.905 4.905 4.905
```

Summary:
Total magnetization = 0.00 μB/cell
Formation energy from the elements = -26.5 kJ/mol of atoms
E = -5.150 eV/atom
Crystal system = cubic


Record 5
# Rb3Cu2AuCl8

A relaxed structure of Rb3Cu2AuCl8 (PBE, Alexandria).

Structure (extended XYZ):
```
14
Lattice="7.122 0.000 0.000 -3.561 6.167 0.000 0.000 0.000 9.324" Properties=species:S:1:pos:R:3 pbc="T T T"
Rb 0.000 0.000 0.000
Rb 0.000 4.112 5.889
Rb 3.561 2.056 3.434
Cu 0.000 4.112 1.933
Cu 3.561 2.056 7.390
Au 0.000 0.000 4.662
Cl 0.000 2.084 3.076
Cl -1.756 5.126 3.076
Cl 0.000 4.112 9.082
Cl 1.804 1.042 6.248
Cl 1.756 5.126 3.076
Cl 3.561 2.056 0.241
Cl 5.317 1.042 6.248
Cl 3.561 4.084 6.248
```

Summary:
Total magnetization = 0.00 μB/cell
E_form (uncorrected) = -1.0713 eV/atom
E = -3.153 eV/atom
Crystal system = trigonal


Record 6
# AcTb2Co

A relaxed structure of AcTb2Co (PBE, Alexandria).

Structure (extended XYZ):
```
4
Lattice="1.966 1.135 9.229 -1.966 1.135 9.229 0.000 -2.270 9.229" Properties=species:S:1:pos:R:3 pbc="T T T"
Ac 0.000 0.000 0.000
Tb 0.000 0.000 6.082
Tb 0.000 0.000 12.463
Co 0.000 0.000 23.115
```

Summary:
Total magnetization = 0.00 μB/cell
Formation energy from the elements = -3.2 kJ/mol of atoms
Distance to the lowest polymorph of the same formula = 34.5 meV per atom
E = -5.152 eV/atom
Crystal system = trigonal